--- one ---
## B2C (PBE)

Data for an optimized crystal structure of B2C.

abc: 3.530 4.608 5.505
angles: 68.85 88.93 78.14
Fractional coordinates of all 12 atoms:
B 0.033 0.237 0.182
B 0.329 0.151 0.912
B 0.329 0.173 0.505
B 0.373 0.587 0.344
B 0.627 0.413 0.656
B 0.671 0.827 0.495
B 0.671 0.849 0.088
B 0.967 0.763 0.818
C 0.010 0.126 0.717
C 0.341 0.481 0.917
C 0.659 0.519 0.083
C 0.990 0.874 0.283

---

--- two ---
## B2C (PBE)

Data for an optimized crystal structure of B2C.

abc: 5.709 5.709 5.721
angles: 99.60 99.60 27.04
Fractional coordinates of all 12 atoms:
B 0.000 0.000 0.000
B 0.005 0.005 0.323
B 0.234 0.234 0.293
B 0.315 0.315 0.586
B 0.527 0.527 0.514
B 0.608 0.608 0.257
B 0.641 0.641 0.764
B 0.903 0.903 0.493
C 0.240 0.240 0.802
C 0.305 0.305 0.065
C 0.557 0.557 0.956
C 0.878 0.878 0.123

---

Most stable: one

---

--- one ---
## RuRh2F (PBE)

Data for an optimized crystal structure of RuRh2F.

abc: 5.326 5.326 5.326
angles: 105.30 105.30 118.19
Fractional coordinates of all 8 atoms:
Ru 0.000 0.000 0.000
Ru 0.750 0.250 0.500
Rh 0.142 0.125 0.517
Rh 0.375 0.858 0.983
Rh 0.608 0.625 0.483
Rh 0.875 0.392 0.017
F 0.250 0.750 0.500
F 0.500 0.500 0.000

---

--- two ---
## RuRh2F (PBE)

Data for an optimized crystal structure of RuRh2F.

abc: 4.244 4.244 4.244
angles: 60.00 60.00 60.00
Fractional coordinates of all 4 atoms:
Ru 0.000 0.000 0.000
Rh 0.250 0.250 0.250
Rh 0.750 0.750 0.750
F 0.500 0.500 0.500

---

Most stable: two

---

--- one ---
## Ta3Cd (PBE)

Data for an optimized crystal structure of Ta3Cd.

abc: 10.313 10.313 10.313
angles: 16.44 16.44 16.44
Fractional coordinates of all 4 atoms:
Ta 0.000 0.000 0.000
Ta 0.252 0.252 0.252
Ta 0.748 0.748 0.748
Cd 0.500 0.500 0.500

---

--- two ---
## Ta3Cd (PBE)

Data for an optimized crystal structure of Ta3Cd.

abc: 5.173 5.173 5.173
angles: 131.98 131.98 70.26
Fractional coordinates of all 4 atoms:
Ta 0.000 0.000 0.000
Ta 0.250 0.750 0.500
Ta 0.750 0.250 0.500
Cd 0.500 0.500 0.000

---

Most stable: one

---

--- one ---
## HgPt2Br (PBE)

Data for an optimized crystal structure of HgPt2Br.

abc: 5.622 5.622 5.622
angles: 149.17 120.48 68.53
Fractional coordinates of all 4 atoms:
Hg 0.000 0.000 0.000
Pt 0.254 0.754 0.500
Pt 0.746 0.246 0.500
Br 0.500 0.500 0.000

---

--- two ---
## HgPt2Br (PBE)

Data for an optimized crystal structure of HgPt2Br.

abc: 4.738 4.738 4.738
angles: 60.00 60.00 60.00
Fractional coordinates of all 4 atoms:
Hg 0.000 0.000 0.000
Pt 0.250 0.250 0.250
Pt 0.750 0.750 0.750
Br 0.500 0.500 0.500

---

Most stable: one

---

--- one ---
## Cr2FeTc (PBE)

Data for an optimized crystal structure of Cr2FeTc.

abc: 4.794 4.794 4.794
angles: 143.89 129.35 63.77
Fractional coordinates of all 4 atoms:
Cr 0.248 0.248 0.000
Cr 0.752 0.752 0.000
Fe 0.500 0.000 0.500
Tc 0.000 0.500 0.500

---

--- two ---
## Cr2FeTc (PBE)

Data for an optimized crystal structure of Cr2FeTc.

abc: 4.477 4.477 4.479
angles: 99.38 99.38 33.66
Fractional coordinates of all 4 atoms:
Cr 0.000 0.000 0.000
Cr 0.244 0.244 0.755
Fe 0.737 0.737 0.239
Tc 0.482 0.482 0.488

---

Most stable: one

---

--- one ---
## Be2MoRu (PBE)

Data for an optimized crystal structure of Be2MoRu.

abc: 4.100 4.092 4.084
angles: 60.20 59.99 59.81
Fractional coordinates of all 4 atoms:
Be 0.000 0.000 0.000
Be 0.250 0.250 0.250
Mo 0.750 0.750 0.750
Ru 0.500 0.500 0.500

---

--- two ---
## Be2MoRu (PBE)

Data for an optimized crystal structure of Be2MoRu.

abc: 2.810 2.810 5.816
angles: 90.00 90.00 90.00
Fractional coordinates of all 4 atoms:
Be 0.000 0.000 0.215
Be 0.000 0.000 0.785
Mo 0.500 0.500 0.500
Ru 0.500 0.500 0.000

---

Most stable: one